Entry 1:
ScTc: relaxed, PBE.

POSCAR file:
```
ScTc
1.0
5.819 0.000 0.000
0.000 8.555 0.000
-0.939 0.000 2.913
Sc Tc
4 4
Cartesian
0.000 1.686 0.000
0.000 6.869 0.000
2.910 2.591 0.000
2.910 5.963 0.000
0.723 4.277 1.009
1.247 0.000 1.904
3.633 0.000 1.009
4.157 4.277 1.904
```

Output
**M_tot**: 0.00 μB/f.u.
**Total DFT energy (no corrections)**: -8.44 eV per atom

=====

Entry 2:
ScTc: relaxed, PBE.

POSCAR file:
```
ScTc
1.0
6.485 0.000 0.000
0.000 6.485 0.000
0.000 0.000 6.485
Sc Tc
8 8
Cartesian
0.811 0.811 0.811
0.811 4.053 4.053
2.432 2.432 5.674
2.432 5.674 2.432
4.053 0.811 4.053
4.053 4.053 0.811
5.674 2.432 2.432
5.674 5.674 5.674
0.811 0.811 4.053
0.811 4.053 0.811
2.432 2.432 2.432
2.432 5.674 5.674
4.053 0.811 0.811
4.053 4.053 4.053
5.674 2.432 5.674
5.674 5.674 2.432
```

Output
**M_tot**: 0.00 μB/f.u.
**Total DFT energy (no corrections)**: -8.41 eV per atom

=====

Entry 3:
ScTc: relaxed, PBE.

POSCAR file:
```
ScTc
1.0
3.031 0.000 0.000
-1.516 2.625 0.000
0.000 0.000 9.306
Sc Tc
2 2
Cartesian
0.000 1.750 3.196
1.516 0.875 6.110
0.000 1.750 8.343
1.516 0.875 0.963
```

Output
**M_tot**: 0.00 μB/f.u.
**Total DFT energy (no corrections)**: -8.23 eV per atom

=====

Entry 4:
ScTc6: relaxed, PBE.

POSCAR file:
```
ScTc6
1.0
8.348 0.000 0.000
0.000 5.102 0.000
0.000 0.000 10.702
Sc Tc
4 24
Cartesian
1.932 1.275 0.599
2.242 3.826 5.950
6.106 1.275 4.752
6.416 3.826 10.103
0.605 0.048 3.264
0.605 2.502 3.264
0.614 3.826 0.800
0.653 1.275 5.578
1.140 3.826 9.114
1.531 1.275 8.099
2.643 3.826 2.748
3.034 1.275 3.762
3.521 3.826 0.226
3.560 1.275 6.151
3.569 2.599 8.615
3.569 5.053 8.615
4.780 0.048 2.087
4.780 2.502 2.087
4.788 3.826 4.551
4.827 1.275 10.476
5.314 3.826 6.940
5.706 1.275 7.955
6.817 3.826 2.603
7.208 1.275 1.589
7.695 3.826 5.125
7.734 1.275 9.902
7.743 2.599 7.438
7.743 5.053 7.438
```

Output
**M_tot**: 0.00 μB/f.u.
**ΔE to the lowest computed polymorph**: 0 meV per atom